1.
Entry from the Alexandria database: an optimized crystal structure of LaPm4Tl5 (PBE).

a b c (Å): 3.870 3.870 19.826
angles (deg): 90.00 90.00 90.00
Atoms (fractional coordinates):
Tl (0.500, 0.500, 0.894)
Tl (0.500, 0.500, 0.500)
Tl (0.500, 0.500, 0.303)
Tl (0.500, 0.500, 0.697)
Tl (0.500, 0.500, 0.106)
Pm (0.000, 0.000, 0.795)
Pm (0.000, 0.000, 0.205)
Pm (0.000, 0.000, 0.401)
Pm (0.000, 0.000, 0.599)
La (0.000, 0.000, 0.000)

Energy of formation: -3.961 eV/f.u.

***

2.
Entry from the Alexandria database: an optimized crystal structure of La5PmTl6 (PBE).

a b c (Å): 5.636 7.869 8.916
angles (deg): 90.00 71.58 90.01
Atoms (fractional coordinates):
La (0.666, 0.000, 0.667)
La (0.331, 0.500, 0.339)
La (0.669, 0.500, 0.661)
La (0.000, 0.500, 0.000)
La (0.334, 0.000, 0.333)
Tl (0.500, 0.247, 0.000)
Tl (0.836, 0.246, 0.328)
Tl (0.500, 0.753, 0.000)
Tl (0.164, 0.754, 0.672)
Tl (0.836, 0.754, 0.328)
Tl (0.164, 0.246, 0.672)
Pm (0.000, 0.000, 0.000)

Energy of formation: -5.005 eV/f.u.

***

3.
Entry from the Alexandria database: an optimized crystal structure of LaPm3Tl4 (PBE).

a b c (Å): 5.546 7.762 11.093
angles (deg): 90.00 90.00 90.00
Atoms (fractional coordinates):
Tl (0.500, 0.756, 0.000)
Tl (0.000, 0.756, 0.750)
Tl (0.000, 0.244, 0.250)
Tl (0.500, 0.244, 0.000)
Tl (0.500, 0.756, 0.500)
Tl (0.000, 0.244, 0.750)
Tl (0.000, 0.756, 0.250)
Tl (0.500, 0.244, 0.500)
Pm (0.500, 0.500, 0.250)
Pm (0.500, 0.000, 0.750)
Pm (0.500, 0.000, 0.250)
Pm (0.500, 0.500, 0.750)
Pm (0.000, 0.000, 0.500)
Pm (0.000, 0.000, 0.000)
La (0.000, 0.500, 0.500)
La (0.000, 0.500, 0.000)

Energy of formation: -3.166 eV/f.u.

***

4.
Entry from the Alexandria database: an optimized crystal structure of La2Pm3Tl (PBE).

a b c (Å): 7.010 6.648 9.481
angles (deg): 99.97 111.69 90.00
Atoms (fractional coordinates):
La (0.754, 0.567, 0.319)
La (0.565, 0.067, 0.319)
La (0.246, 0.433, 0.681)
La (0.435, 0.933, 0.681)
Pm (0.051, 0.035, 0.329)
Pm (0.278, 0.535, 0.329)
Pm (0.722, 0.465, 0.671)
Pm (0.215, 0.750, 0.000)
Pm (0.785, 0.250, 0.000)
Pm (0.949, 0.965, 0.671)
Tl (0.715, 0.750, 0.000)
Tl (0.285, 0.250, 0.000)

Energy of formation: -0.430 eV/f.u.

***

5.
Entry from the Alexandria database: an optimized crystal structure of La2Pm5Tl4 (PBE).

a b c (Å): 3.564 8.830 10.825
angles (deg): 83.95 90.00 90.00
Atoms (fractional coordinates):
Tl (0.500, 0.255, 0.581)
Tl (0.500, 0.201, 0.114)
Tl (0.500, 0.745, 0.419)
Tl (0.500, 0.799, 0.886)
Pm (0.000, 0.838, 0.142)
Pm (0.000, 0.461, 0.333)
Pm (0.000, 0.162, 0.858)
Pm (0.000, 0.539, 0.667)
Pm (0.000, 0.500, 0.000)
La (0.000, 0.918, 0.635)
La (0.000, 0.082, 0.365)

Energy of formation: -2.271 eV/f.u.

***

6.
Entry from the Alexandria database: an optimized crystal structure of La2PmTmTl2 (PBE).

a b c (Å): 5.146 7.047 10.284
angles (deg): 90.00 90.00 90.00
Atoms (fractional coordinates):
Pm (0.000, 0.961, 0.455)
Pm (0.000, 0.461, 0.545)
Tl (0.500, 0.227, 0.389)
Tl (0.500, 0.727, 0.611)
Tl (0.000, 0.293, 0.849)
Tl (0.000, 0.793, 0.151)
Tm (0.500, 0.166, 0.694)
Tm (0.500, 0.666, 0.306)
La (0.000, 0.316, 0.175)
La (0.500, 0.082, 0.063)
La (0.000, 0.816, 0.825)
La (0.500, 0.582, 0.937)

Energy of formation: -1.713 eV/f.u.

***

7.
Entry from the Alexandria database: an optimized crystal structure of LaPmTmTl (PBE).

a b c (Å): 5.598 5.598 5.598
angles (deg): 60.00 60.00 60.00
Each line ends with the local moment (μB).
Atoms (fractional coordinates):
Tm (0.500, 0.500, 0.500)  0.28
Pm (0.250, 0.250, 0.250)  0.17
Tl (0.000, 0.000, 0.000)  0.00
La (0.750, 0.750, 0.750)  0.14

Energy of formation: -0.351 eV/f.u.

***

8.
Entry from the Alexandria database: an optimized crystal structure of LaPm2TmTl4 (PBE).

a b c (Å): 5.477 5.477 9.552
angles (deg): 73.34 73.34 60.00
Atoms (fractional coordinates):
Pm (0.752, 0.752, 0.745)
Pm (0.248, 0.248, 0.255)
Tl (0.622, 0.622, 0.133)
Tl (0.127, 0.127, 0.619)
Tl (0.378, 0.378, 0.867)
Tl (0.873, 0.873, 0.381)
La (0.000, 0.000, 0.000)
Tm (0.500, 0.500, 0.500)

Energy of formation: -2.894 eV/f.u.

***

9.
Entry from the Alexandria database: an optimized crystal structure of LaPmTmTl (PBE).

a b c (Å): 5.520 5.520 5.524
angles (deg): 119.97 119.97 90.00
Atoms (fractional coordinates):
Pm (0.000, 0.000, 0.000)
La (0.750, 0.250, 0.500)
Tm (0.500, 0.500, 0.000)
Tl (0.250, 0.750, 0.500)

Energy of formation: -0.039 eV/f.u.

***

10.
Entry from the Alexandria database: an optimized crystal structure of La2Pm7TmTl2 (PBE).

a b c (Å): 4.933 4.933 17.602
angles (deg): 73.44 73.44 89.02
Atoms (fractional coordinates):
La (0.168, 0.168, 0.332)
La (0.832, 0.832, 0.668)
Pm (0.165, 0.665, 0.836)
Pm (0.276, 0.276, 0.500)
Pm (0.724, 0.724, 0.500)
Pm (0.500, 0.500, 0.000)
Pm (0.335, 0.835, 0.164)
Pm (0.665, 0.165, 0.836)
Pm (0.835, 0.335, 0.164)
Tl (0.682, 0.682, 0.318)
Tl (0.318, 0.318, 0.682)
Tm (0.000, 0.000, 0.000)

Energy of formation: -0.322 eV/f.u.

***

11.
Entry from the Alexandria database: an optimized crystal structure of La2PmYTl2 (PBE).

a b c (Å): 5.187 6.993 10.356
angles (deg): 90.00 90.00 90.00
Atoms (fractional coordinates):
La (0.500, 0.086, 0.061)
La (0.000, 0.313, 0.176)
La (0.500, 0.586, 0.939)
La (0.000, 0.813, 0.824)
Y (0.500, 0.170, 0.694)
Y (0.500, 0.670, 0.306)
Pm (0.000, 0.459, 0.544)
Pm (0.000, 0.959, 0.456)
Tl (0.000, 0.796, 0.148)
Tl (0.500, 0.722, 0.614)
Tl (0.000, 0.296, 0.852)
Tl (0.500, 0.222, 0.386)

Energy of formation: -1.802 eV/f.u.

***

12.
Entry from the Alexandria database: an optimized crystal structure of La2Pm7YTl2 (PBE).

a b c (Å): 6.155 6.155 15.270
angles (deg): 57.00 57.00 69.40
Atoms (fractional coordinates):
Pm (0.681, 0.681, 0.500)
Pm (0.833, 0.333, 0.167)
Pm (0.333, 0.833, 0.167)
Pm (0.667, 0.167, 0.833)
Pm (0.319, 0.319, 0.500)
Pm (0.500, 0.500, 0.000)
Pm (0.167, 0.667, 0.833)
Tl (0.271, 0.271, 0.729)
Tl (0.729, 0.729, 0.271)
La (0.855, 0.855, 0.645)
La (0.145, 0.145, 0.355)
Y (0.000, 0.000, 0.000)

Energy of formation: -0.470 eV/f.u.

***

13.
Entry from the Alexandria database: an optimized crystal structure of LaPm2YTl2 (PBE).

a b c (Å): 5.263 6.908 10.288
angles (deg): 90.00 90.00 90.00
Atoms (fractional coordinates):
Pm (0.500, 0.053, 0.046)
Pm (0.000, 0.831, 0.819)
Pm (0.500, 0.553, 0.954)
Pm (0.000, 0.331, 0.181)
Tl (0.500, 0.224, 0.366)
Tl (0.000, 0.297, 0.861)
Tl (0.000, 0.797, 0.139)
Tl (0.500, 0.724, 0.634)
La (0.000, 0.959, 0.457)
La (0.000, 0.459, 0.543)
Y (0.500, 0.182, 0.691)
Y (0.500, 0.682, 0.309)

Energy of formation: -1.698 eV/f.u.

***

14.
Entry from the Alexandria database: an optimized crystal structure of LaPmTlZn (PBE).

a b c (Å): 5.434 5.434 5.434
angles (deg): 60.00 60.00 60.00
Atoms (fractional coordinates):
Tl (0.750, 0.750, 0.750)
Pm (0.500, 0.500, 0.500)
La (0.000, 0.000, 0.000)
Zn (0.250, 0.250, 0.250)

Energy of formation: -1.354 eV/f.u.

***

15.
Entry from the Alexandria database: an optimized crystal structure of LaPm3Tm7 (PBE).

a b c (Å): 5.816 8.414 8.414
angles (deg): 83.20 110.21 110.21
Atoms (fractional coordinates):
La (0.500, 0.500, 0.500)
Pm (0.000, 0.789, 0.211)
Pm (0.000, 0.211, 0.789)
Pm (0.500, 0.000, 0.000)
Tm (0.286, 0.596, 0.976)
Tm (0.797, 0.797, 0.797)
Tm (0.203, 0.203, 0.203)
Tm (0.714, 0.404, 0.024)
Tm (0.714, 0.024, 0.404)
Tm (0.000, 0.500, 0.500)
Tm (0.286, 0.976, 0.596)

Energy of formation: 2.878 eV/f.u.

***

16.
Entry from the Alexandria database: an optimized crystal structure of LaPm2Tm7 (PBE).

a b c (Å): 5.452 9.332 9.332
angles (deg): 125.27 90.00 90.00
Atoms (fractional coordinates):
Tm (0.000, 0.791, 0.209)
Tm (0.500, 0.711, 0.936)
Tm (0.000, 0.209, 0.791)
Tm (0.500, 0.289, 0.064)
Tm (0.500, 0.936, 0.711)
Tm (0.500, 0.064, 0.289)
Tm (0.500, 0.500, 0.500)
La (0.000, 0.000, 0.000)
Pm (0.500, 0.702, 0.298)
Pm (0.500, 0.298, 0.702)

Energy of formation: 6.947 eV/f.u.

***

17.
Entry from the Alexandria database: an optimized crystal structure of La7Pm2Tm2 (PBE).

a b c (Å): 6.210 8.216 8.216
angles (deg): 89.85 105.11 105.11
Atoms (fractional coordinates):
La (0.800, 0.573, 0.573)
La (0.182, 0.417, 0.955)
La (0.200, 0.427, 0.427)
La (0.818, 0.045, 0.583)
La (0.182, 0.955, 0.417)
La (0.000, 0.000, 0.000)
La (0.818, 0.583, 0.045)
Tm (0.500, 0.787, 0.213)
Tm (0.500, 0.213, 0.787)
Pm (0.596, 0.226, 0.226)
Pm (0.404, 0.774, 0.774)

Energy of formation: 1.246 eV/f.u.

***

18.
Entry from the Alexandria database: an optimized crystal structure of La2Pm5Tm12 (PBE).

a b c (Å): 9.270 12.315 8.578
angles (deg): 132.44 90.00 112.11
Atoms (fractional coordinates):
Tm (0.557, 0.114, 0.782)
Tm (0.330, 0.305, 0.059)
Tm (0.670, 0.695, 0.941)
Tm (0.085, 0.171, 0.291)
Tm (0.915, 0.829, 0.709)
Tm (0.816, 0.255, 0.600)
Tm (0.439, 0.255, 0.600)
Tm (0.443, 0.886, 0.218)
Tm (0.974, 0.305, 0.059)
Tm (0.026, 0.695, 0.941)
Tm (0.561, 0.745, 0.400)
Tm (0.184, 0.745, 0.400)
Pm (0.000, 0.000, 0.500)
Pm (0.298, 0.595, 0.607)
Pm (0.232, 0.463, 0.889)
Pm (0.768, 0.537, 0.111)
Pm (0.702, 0.405, 0.393)
La (0.683, 0.000, 0.000)
La (0.317, 0.000, 0.000)

Energy of formation: 2.546 eV/f.u.

***

19.
Entry from the Alexandria database: an optimized crystal structure of La4Pm11Tm9 (PBE).

a b c (Å): 3.578 14.931 14.931
angles (deg): 92.15 90.00 90.00
Atoms (fractional coordinates):
Pm (0.000, 0.340, 0.660)
Pm (0.000, 0.238, 0.238)
Pm (0.000, 0.077, 0.414)
Pm (0.000, 0.831, 0.169)
Pm (0.000, 0.660, 0.340)
Pm (0.000, 0.000, 0.000)
Pm (0.000, 0.414, 0.077)
Pm (0.000, 0.586, 0.923)
Pm (0.000, 0.169, 0.831)
Pm (0.000, 0.923, 0.586)
Pm (0.000, 0.762, 0.762)
Tm (0.500, 0.966, 0.794)
Tm (0.500, 0.794, 0.966)
Tm (0.500, 0.375, 0.872)
Tm (0.500, 0.872, 0.375)
Tm (0.500, 0.128, 0.625)
Tm (0.500, 0.625, 0.128)
Tm (0.500, 0.500, 0.500)
Tm (0.500, 0.034, 0.206)
Tm (0.500, 0.206, 0.034)
La (0.500, 0.719, 0.550)
La (0.500, 0.450, 0.281)
La (0.500, 0.281, 0.450)
La (0.500, 0.550, 0.719)

Energy of formation: 1.385 eV/f.u.

***

20.
Entry from the Alexandria database: an optimized crystal structure of La3Pm3Tm (PBE).

a b c (Å): 5.897 9.835 9.835
angles (deg): 120.00 90.00 90.00
Atoms (fractional coordinates):
Pm (0.250, 0.385, 0.904)
Pm (0.250, 0.096, 0.481)
Pm (0.750, 0.904, 0.519)
Pm (0.750, 0.481, 0.385)
Pm (0.250, 0.519, 0.615)
Pm (0.750, 0.615, 0.096)
La (0.250, 0.952, 0.756)
La (0.250, 0.804, 0.048)
La (0.750, 0.048, 0.244)
La (0.250, 0.244, 0.196)
La (0.750, 0.196, 0.952)
La (0.750, 0.756, 0.804)
Tm (0.250, 0.667, 0.333)
Tm (0.750, 0.333, 0.667)

Energy of formation: 0.216 eV/f.u.

***

21.
Entry from the Alexandria database: an optimized crystal structure of LaPm3Tm3 (PBE).

a b c (Å): 8.134 6.368 6.368
angles (deg): 103.18 115.20 115.20
Atoms (fractional coordinates):
Tm (0.418, 0.000, 0.403)
Tm (0.418, 0.403, 0.000)
Tm (0.015, 0.597, 0.597)
Pm (0.974, 0.363, 0.000)
Pm (0.612, 0.637, 0.637)
Pm (0.974, 0.000, 0.363)
La (0.563, 0.000, 0.000)

Energy of formation: 1.595 eV/f.u.